Record 1
VASP calculation (PBE) on a relaxed structure of La2Ce3PrBi6.

Unit cell a=8.0433 b=8.0433 c=8.0470 alpha=99.59 beta=99.59 gamma=120.00
Atoms (fractional coordinates):
La 0.6664 0.3336 0.0000
Bi 0.7535 0.7535 0.2564
Bi 0.0851 0.4172 0.2556
Bi 0.4172 0.0851 0.2556
Bi 0.9149 0.5828 0.7444
Ce 0.8329 0.1671 0.5000
Bi 0.2465 0.2465 0.7436
La 0.3336 0.6664 0.0000
Bi 0.5828 0.9149 0.7444
Pr 0.0000 0.0000 0.0000
Ce 0.1671 0.8329 0.5000
Ce 0.5000 0.5000 0.5000

Properties
The value obtained for the calculated formation energy is -0.910 eV/atom.

---

Record 2
VASP calculation (PBE) on a relaxed structure of KMgIn2.

Unit cell a=5.4239 b=5.4239 c=5.4239 alpha=120.04 beta=120.04 gamma=89.93
Atoms (fractional coordinates):
In 0.2500 0.7500 0.5000
K 0.5000 0.5000 0.0000
Mg 0.7500 0.2500 0.5000
In 0.0000 0.0000 0.0000

Properties
The value obtained for the calculated formation energy is 0.035 eV/atom.

---

Record 3
VASP calculation (PBE) on a relaxed structure of MgHgRh.

Unit cell a=4.4584 b=6.2301 c=8.9875 alpha=90.00 beta=90.00 gamma=90.00
Atoms (fractional coordinates):
Hg 0.7500 0.4953 0.6311
Rh 0.7500 0.7661 0.3866
Rh 0.2500 0.2339 0.6134
Mg 0.2500 0.4917 0.8635
Hg 0.2500 0.5047 0.3689
Mg 0.7500 0.5083 0.1365
Hg 0.2500 0.9953 0.8689
Rh 0.2500 0.2661 0.1134
Rh 0.7500 0.7339 0.8866
Mg 0.7500 0.9917 0.6365
Mg 0.2500 0.0083 0.3635
Hg 0.7500 0.0047 0.1311

Properties
The value obtained for the calculated formation energy is -0.056 eV/atom.

---

Record 4
VASP calculation (PBE) on a relaxed structure of MgSn3Ir.

Unit cell a=6.6340 b=6.6340 c=7.0317 alpha=106.26 beta=121.48 gamma=98.61
Atoms (fractional coordinates):
Sn 0.7596 0.6020 0.7582
Sn 0.8438 0.0014 0.2418
Mg 0.6951 0.0566 0.7517
Sn 0.1562 0.9986 0.7582
Ir 0.3547 0.2638 0.6184
Sn 0.7298 0.4108 0.1406
Sn 0.2702 0.5892 0.8594
Mg 0.3049 0.9434 0.2483
Ir 0.6453 0.7362 0.3816
Sn 0.2404 0.3980 0.2418

Properties
The value obtained for the calculated formation energy is -0.207 eV/atom.

---

Record 5
VASP calculation (PBE) on a relaxed structure of CsPu3Br8.

Unit cell a=7.5513 b=7.5513 c=9.3671 alpha=90.00 beta=90.00 gamma=120.00
Atoms (fractional coordinates):
Br 0.6667 0.3333 0.6060
Pu 0.3333 0.6667 0.0915
Br 0.9284 0.6355 0.1560
Cs 0.0000 0.0000 0.5000
Pu 0.0000 0.0000 0.0000
Br 0.7071 0.0716 0.1560
Br 0.2929 0.9284 0.8440
Br 0.3645 0.2929 0.1560
Br 0.6355 0.7071 0.8440
Pu 0.6667 0.3333 0.9085
Br 0.3333 0.6667 0.3940
Br 0.0716 0.3645 0.8440

Properties
Its uncorrected formation energy is -1.52 eV per atom.

---

Record 6
VASP calculation (PBE) on a relaxed structure of Nd8PtRh3Cl4.

Unit cell a=8.2426 b=8.9184 c=8.2432 alpha=117.51 beta=120.00 gamma=90.00
Atoms (fractional coordinates):
Cl 0.5000 0.0000 0.0000
Rh 0.5000 0.5000 0.0000
Nd 0.7627 0.2949 0.0326
Nd 0.2374 0.7052 0.4747
Nd 0.7626 0.2948 0.5253
Rh 0.5000 0.5000 0.5000
Cl 0.5000 0.0000 0.5000
Nd 0.2700 0.2949 0.0326
Cl 0.0000 0.0000 0.5000
Cl 0.0000 0.0000 0.0000
Nd 0.7300 0.7051 0.9674
Rh 0.0000 0.5000 0.5000
Nd 0.7352 0.7061 0.4705
Nd 0.2373 0.7051 0.9674
Nd 0.2648 0.2939 0.5295
Pt 0.0000 0.5000 0.0000

Properties
Its uncorrected formation energy is -1.22 eV per atom.